Record 1
Compound: LaNdSn
Source: the Open Quantum Materials Database
Functional: PBE
Structure: optimized geometry

a b c (Å): 5.3580 5.3580 5.3580
angles (deg): 60.00 60.00 60.00
With the nearest neighbours (Å) after each atom.
Positions (direct):
La  0.0000  0.0000  0.0000  4 Sn 3.28
Nd  0.5000  0.5000  0.5000  4 Sn 3.28
Sn  0.2500  0.2500  0.2500  4 La 3.28, 4 Nd 3.28

Computed properties:
The space group is No. 216. As for the energy above the most stable polymorph in this dataset: 0.34 eV per formula unit.

Record 2
Compound: Zr2SnO4
Source: the Open Quantum Materials Database
Functional: PBE
Structure: optimized geometry

a b c (Å): 6.7033 6.7033 6.7033
angles (deg): 60.00 60.00 60.00
With the nearest neighbours (Å) after each atom.
Positions (direct):
Zr  0.0000  0.0000  0.0000  6 O 2.19
Zr  0.0000  0.0000  0.5000  6 O 2.19
Zr  0.0000  0.5000  0.0000  6 O 2.19
Zr  0.5000  0.0000  0.0000  6 O 2.19
Sn  0.3750  0.3750  0.3750  4 O 2.39
Sn  0.6250  0.6250  0.6250  4 O 2.39
O  0.1886  0.7705  0.7705  3 Zr 2.19, 1 Sn 2.39
O  0.2295  0.2295  0.2295  3 Zr 2.19, 1 Sn 2.39
O  0.2295  0.2295  0.8114  3 Zr 2.19, 1 Sn 2.39
O  0.2295  0.8114  0.2295  3 Zr 2.19, 1 Sn 2.39
O  0.7705  0.1886  0.7705  3 Zr 2.19, 1 Sn 2.39
O  0.7705  0.7705  0.1886  3 Zr 2.19, 1 Sn 2.39
O  0.7705  0.7705  0.7705  3 Zr 2.19, 1 Sn 2.39
O  0.8114  0.2295  0.2295  3 Zr 2.19, 1 Sn 2.39

Computed properties:
The space group is No. 227. The total energy comes out at -8.109 eV per atom.

Record 3
Compound: ErMgAs
Source: the Open Quantum Materials Database
Functional: PBE
Structure: optimized geometry

a b c (Å): 4.6672 4.6672 4.6672
angles (deg): 60.00 60.00 60.00
With the nearest neighbours (Å) after each atom.
Positions (direct):
Er  0.0000  0.0000  0.0000  4 As 2.86
Mg  0.5000  0.5000  0.5000  4 As 2.86
As  0.2500  0.2500  0.2500  4 Mg 2.86, 4 Er 2.86

Computed properties:
The space group is No. 216. The total energy comes out at -4.058 eV per atom.